Entry from Alexandria: TiCrIO2 after structural relaxation (PBE with a Hubbard U).

POSCAR file:
```
TiCrIO2
1.0
3.9026 0.0000 0.0000
0.0000 3.9026 0.0000
0.0000 0.0000 5.8978
Ti Cr I O
1 1 1 2
Direct
0.0000 0.0000 0.0000
0.5000 0.5000 0.5000
0.0000 0.0000 0.5000
0.0000 0.5000 0.0000
0.5000 0.0000 0.0000
```

Summary:
- symmetry = P4/mmm, No. 123
- E (eV/atom) = -6.70